## Sr2YCu (PBE)

Data for a relaxed Sr2YCu crystal.

Unit cell a=3.7508 b=3.7585 c=9.7092 alpha=90.00 beta=90.06 gamma=90.00
Closest atoms and distances in Å follow each position.
Positions (direct):
1 Sr 0.9997 0.0000 0.1949  4 Cu 3.26
2 Sr 0.0003 0.0000 0.8051  4 Cu 3.26
3 Y 0.5000 0.5000 0.5000  4 Y 3.75-3.76, 8 Sr 3.98
4 Cu 0.5000 0.5000 0.0000  8 Sr 3.26

Its total energy is -13.35 eV for the cell shown. Its energy relative to the lowest polymorph listed for this composition is 12.6 kJ per mole of atoms. The density of states at the Fermi level is 1.317 states/eV per atom. For the calculated formation energy, the calculation gives 0.142 eV per atom. Its space group is No. 10. The value obtained for the total magnetization is 0.5 μB/cell.